# MgAs2Pd6

MgAs2Pd6 after structural relaxation (PBE, Alexandria via LeMat-Bulk).

ΔE to the lowest computed polymorph = 37 meV/atom
E_form = -0.39 eV per atom
DOS(E_F) = 4.8 states/eV/cell
SG = No. 12
Total magnetization = 0.00 μB per cell

abc: 6.8952 6.8952 5.2459
angles: 110.71 110.71 37.63
Fractional coordinates of all 9 atoms:
Mg 0.0000 0.0000 0.0000
As 0.3423 0.3423 0.6923
As 0.6577 0.6577 0.3077
Pd 0.1206 0.1206 0.5544
Pd 0.2270 0.2270 0.1546
Pd 0.4523 0.4523 0.2123
Pd 0.5477 0.5477 0.7877
Pd 0.7730 0.7730 0.8454
Pd 0.8794 0.8794 0.4456